The following is a DFT calculation (PBE) of LiNb2Pt after structural relaxation. Values from VASP.

Calculated values
The value obtained for the total energy is -7.057 eV/atom. As for the volume: 258 Å³ per cell.

Cell and atoms, written as Quantum ESPRESSO input:
```
&SYSTEM
  ibrav = 0, nat = 16, ntyp = 3
/
ATOMIC_SPECIES
Li 6.94 Li.upf
Nb 92.91 Nb.upf
Pt 195.08 Pt.upf
CELL_PARAMETERS angstrom
6.364 0.000 0.000
0.000 6.364 0.000
0.000 0.000 6.364
ATOMIC_POSITIONS angstrom
Li 0.000 0.000 0.000
Li 0.000 3.182 3.182
Li 3.182 0.000 3.182
Li 3.182 3.182 0.000
Nb 0.000 0.000 3.182
Nb 0.000 3.182 0.000
Nb 1.591 1.591 4.773
Nb 1.591 4.773 1.591
Nb 3.182 0.000 0.000
Nb 3.182 3.182 3.182
Nb 4.773 1.591 1.591
Nb 4.773 4.773 4.773
Pt 1.591 1.591 1.591
Pt 1.591 4.773 4.773
Pt 4.773 1.591 4.773
Pt 4.773 4.773 1.591
```



The following is a DFT calculation (PBE) of LiNbPt after structural relaxation. Values from VASP.

Calculated values
As for the volume: 221 Å³ per cell. The energy above the most stable polymorph in this dataset is 0 meV per atom.

Cell and atoms, written as Quantum ESPRESSO input:
```
&SYSTEM
  ibrav = 0, nat = 12, ntyp = 3
/
ATOMIC_SPECIES
Li 6.94 Li.upf
Nb 92.91 Nb.upf
Pt 195.08 Pt.upf
CELL_PARAMETERS angstrom
6.045 0.000 0.000
0.000 6.045 0.000
0.000 0.000 6.045
ATOMIC_POSITIONS angstrom
Li 0.000 0.000 0.000
Li 0.000 3.022 3.022
Li 3.022 0.000 3.022
Li 3.022 3.022 0.000
Nb 0.000 0.000 3.022
Nb 0.000 3.022 0.000
Nb 3.022 0.000 0.000
Nb 3.022 3.022 3.022
Pt 1.511 1.511 1.511
Pt 1.511 4.534 4.534
Pt 4.534 1.511 4.534
Pt 4.534 4.534 1.511
```



The following is a DFT calculation (PBE) of Li2NbPt after structural relaxation. Values from VASP.

Calculated values
The value obtained for the total energy is -5.263 eV/atom. As for the volume: 235 Å³ per cell.

Cell and atoms, written as Quantum ESPRESSO input:
```
&SYSTEM
  ibrav = 0, nat = 16, ntyp = 3
/
ATOMIC_SPECIES
Li 6.94 Li.upf
Nb 92.91 Nb.upf
Pt 195.08 Pt.upf
CELL_PARAMETERS angstrom
6.174 0.000 0.000
0.000 6.174 0.000
0.000 0.000 6.174
ATOMIC_POSITIONS angstrom
Li 0.000 0.000 0.000
Li 0.000 3.087 3.087
Li 1.544 1.544 1.544
Li 1.544 4.631 4.631
Li 3.087 0.000 3.087
Li 3.087 3.087 0.000
Li 4.631 1.544 4.631
Li 4.631 4.631 1.544
Nb 0.000 0.000 3.087
Nb 0.000 3.087 0.000
Nb 3.087 0.000 0.000
Nb 3.087 3.087 3.087
Pt 1.544 1.544 4.631
Pt 1.544 4.631 1.544
Pt 4.631 1.544 1.544
Pt 4.631 4.631 4.631
```



The following is a DFT calculation (PBE) of SrLiNbPt after structural relaxation. Values from VASP.

Calculated values
As for the volume: 339 Å³ per cell. The energy above the most stable polymorph in this dataset is 418 meV per atom.

Cell and atoms, written as Quantum ESPRESSO input:
```
&SYSTEM
  ibrav = 0, nat = 16, ntyp = 4
/
ATOMIC_SPECIES
Sr 87.62 Sr.upf
Li 6.94 Li.upf
Nb 92.91 Nb.upf
Pt 195.08 Pt.upf
CELL_PARAMETERS angstrom
6.974 0.000 0.000
0.000 6.974 0.000
0.000 0.000 6.974
ATOMIC_POSITIONS angstrom
Sr 0.000 0.000 0.000
Sr 0.000 3.487 3.487
Sr 3.487 0.000 3.487
Sr 3.487 3.487 0.000
Li 0.000 0.000 3.487
Li 0.000 3.487 0.000
Li 3.487 0.000 0.000
Li 3.487 3.487 3.487
Nb 1.744 1.744 1.744
Nb 1.744 5.231 5.231
Nb 5.231 1.744 5.231
Nb 5.231 5.231 1.744
Pt 1.744 1.744 5.231
Pt 1.744 5.231 1.744
Pt 5.231 1.744 1.744
Pt 5.231 5.231 5.231
```



The following is a DFT calculation (PBE) of SrLiNbPt after structural relaxation. Values from VASP.

Calculated values
As for the volume: 300 Å³ per cell. The energy above the most stable polymorph in this dataset is 0 meV per atom.

Cell and atoms, written as Quantum ESPRESSO input:
```
&SYSTEM
  ibrav = 0, nat = 16, ntyp = 4
/
ATOMIC_SPECIES
Sr 87.62 Sr.upf
Li 6.94 Li.upf
Nb 92.91 Nb.upf
Pt 195.08 Pt.upf
CELL_PARAMETERS angstrom
6.693 0.000 0.000
0.000 6.693 0.000
0.000 0.000 6.693
ATOMIC_POSITIONS angstrom
Sr 0.000 0.000 0.000
Sr 0.000 3.347 3.347
Sr 3.347 0.000 3.347
Sr 3.347 3.347 0.000
Li 1.673 1.673 1.673
Li 1.673 5.020 5.020
Li 5.020 1.673 5.020
Li 5.020 5.020 1.673
Nb 1.673 1.673 5.020
Nb 1.673 5.020 1.673
Nb 5.020 1.673 1.673
Nb 5.020 5.020 5.020
Pt 0.000 0.000 3.347
Pt 0.000 3.347 0.000
Pt 3.347 0.000 0.000
Pt 3.347 3.347 3.347
```



The following is a DFT calculation (PBE) of SrLiNbPt after structural relaxation. Values from VASP.

Calculated values
As for the volume: 330 Å³ per cell. The energy above the most stable polymorph in this dataset is 76 meV per atom.

Cell and atoms, written as Quantum ESPRESSO input:
```
&SYSTEM
  ibrav = 0, nat = 16, ntyp = 4
/
ATOMIC_SPECIES
Sr 87.62 Sr.upf
Li 6.94 Li.upf
Nb 92.91 Nb.upf
Pt 195.08 Pt.upf
CELL_PARAMETERS angstrom
6.913 0.000 0.000
0.000 6.913 0.000
0.000 0.000 6.913
ATOMIC_POSITIONS angstrom
Sr 0.000 0.000 0.000
Sr 0.000 3.456 3.456
Sr 3.456 0.000 3.456
Sr 3.456 3.456 0.000
Li 1.728 1.728 1.728
Li 1.728 5.184 5.184
Li 5.184 1.728 5.184
Li 5.184 5.184 1.728
Nb 0.000 0.000 3.456
Nb 0.000 3.456 0.000
Nb 3.456 0.000 0.000
Nb 3.456 3.456 3.456
Pt 1.728 1.728 5.184
Pt 1.728 5.184 1.728
Pt 5.184 1.728 1.728
Pt 5.184 5.184 5.184
```



The following is a DFT calculation (PBE) of RbLiNb after structural relaxation. Values from VASP.

Calculated values
As for the volume: 449 Å³ per cell. The energy above the most stable polymorph in this dataset is 0 meV per atom.

Cell and atoms, written as Quantum ESPRESSO input:
```
&SYSTEM
  ibrav = 0, nat = 12, ntyp = 3
/
ATOMIC_SPECIES
Rb 85.47 Rb.upf
Li 6.94 Li.upf
Nb 92.91 Nb.upf
CELL_PARAMETERS angstrom
7.655 0.000 0.000
0.000 7.655 0.000
0.000 0.000 7.655
ATOMIC_POSITIONS angstrom
Rb 0.000 0.000 0.000
Rb 0.000 3.827 3.827
Rb 3.827 0.000 3.827
Rb 3.827 3.827 0.000
Li 1.914 1.914 5.741
Li 1.914 5.741 1.914
Li 5.741 1.914 1.914
Li 5.741 5.741 5.741
Nb 0.000 0.000 3.827
Nb 0.000 3.827 0.000
Nb 3.827 0.000 0.000
Nb 3.827 3.827 3.827
```



The following is a DFT calculation (PBE) of Rb2LiNbS4 after structural relaxation. Values from VASP.

Calculated values
The value obtained for the total energy is -5.033 eV/atom. As for the volume: 918 Å³ per cell.

Cell and atoms, written as Quantum ESPRESSO input:
```
&SYSTEM
  ibrav = 0, nat = 32, ntyp = 4
/
ATOMIC_SPECIES
Rb 85.47 Rb.upf
Li 6.94 Li.upf
Nb 92.91 Nb.upf
S 32.06 S.upf
CELL_PARAMETERS angstrom
7.094 0.000 0.000
1.238 11.411 0.000
0.469 3.759 11.345
ATOMIC_POSITIONS angstrom
Rb 1.541 2.055 2.838
Rb 2.784 9.844 8.205
Rb 2.749 8.731 3.961
Rb 2.381 4.982 9.717
Rb 6.421 10.187 1.629
Rb 6.052 6.439 7.385
Rb 6.017 5.325 3.141
Rb 7.260 13.114 8.507
Li 2.587 5.717 0.805
Li 3.786 13.482 6.628
Li 5.015 1.687 4.717
Li 6.214 9.452 10.541
Nb 2.521 4.939 5.510
Nb 3.413 12.481 11.181
Nb 5.389 2.689 0.164
Nb 6.280 10.230 5.835
S 1.482 11.258 11.285
S 0.729 3.629 6.033
S 2.800 10.595 1.129
S 2.528 6.827 6.784
S 2.462 5.417 3.271
S 3.804 13.061 9.003
S 4.433 11.505 5.300
S 4.216 7.816 10.664
S 4.585 7.353 0.681
S 4.369 3.665 6.045
S 4.998 2.108 2.342
S 6.339 9.753 8.074
S 6.273 8.342 4.562
S 6.001 4.575 10.217
S 8.072 11.541 5.312
S 7.319 3.912 0.060
```



The following is a DFT calculation (PBE) of LiNb2Re after structural relaxation. Values from VASP.

Calculated values
The value obtained for the total energy is -8.305 eV/atom. As for the volume: 254 Å³ per cell.

Cell and atoms, written as Quantum ESPRESSO input:
```
&SYSTEM
  ibrav = 0, nat = 16, ntyp = 3
/
ATOMIC_SPECIES
Li 6.94 Li.upf
Nb 92.91 Nb.upf
Re 186.21 Re.upf
CELL_PARAMETERS angstrom
6.330 0.000 0.000
0.000 6.330 0.000
0.000 0.000 6.330
ATOMIC_POSITIONS angstrom
Li 0.000 0.000 0.000
Li 0.000 3.165 3.165
Li 3.165 0.000 3.165
Li 3.165 3.165 0.000
Nb 0.000 0.000 3.165
Nb 0.000 3.165 0.000
Nb 1.582 1.582 4.747
Nb 1.582 4.747 1.582
Nb 3.165 0.000 0.000
Nb 3.165 3.165 3.165
Nb 4.747 1.582 1.582
Nb 4.747 4.747 4.747
Re 1.582 1.582 1.582
Re 1.582 4.747 4.747
Re 4.747 1.582 4.747
Re 4.747 4.747 1.582
```



The following is a DFT calculation (PBE) of LiNbRe2 after structural relaxation. Values from VASP.

Calculated values
The value obtained for the total energy is -9.050 eV/atom. As for the volume: 238 Å³ per cell.

Cell and atoms, written as Quantum ESPRESSO input:
```
&SYSTEM
  ibrav = 0, nat = 16, ntyp = 3
/
ATOMIC_SPECIES
Li 6.94 Li.upf
Nb 92.91 Nb.upf
Re 186.21 Re.upf
CELL_PARAMETERS angstrom
6.194 0.000 0.000
0.000 6.194 0.000
0.000 0.000 6.194
ATOMIC_POSITIONS angstrom
Li 0.000 0.000 0.000
Li 0.000 3.097 3.097
Li 3.097 0.000 3.097
Li 3.097 3.097 0.000
Nb 1.549 1.549 1.549
Nb 1.549 4.646 4.646
Nb 4.646 1.549 4.646
Nb 4.646 4.646 1.549
Re 0.000 0.000 3.097
Re 0.000 3.097 0.000
Re 1.549 1.549 4.646
Re 1.549 4.646 1.549
Re 3.097 0.000 0.000
Re 3.097 3.097 3.097
Re 4.646 1.549 1.549
Re 4.646 4.646 4.646
```



The following is a DFT calculation (PBE) of Li3NbS4 after structural relaxation. Values from VASP.

Calculated values
The value obtained for the total energy is -5.066 eV/atom. As for the volume: 302 Å³ per cell.

Cell and atoms, written as Quantum ESPRESSO input:
```
&SYSTEM
  ibrav = 0, nat = 16, ntyp = 3
/
ATOMIC_SPECIES
Li 6.94 Li.upf
Nb 92.91 Nb.upf
S 32.06 S.upf
CELL_PARAMETERS angstrom
6.709 0.000 0.000
0.000 6.709 0.000
0.000 0.000 6.709
ATOMIC_POSITIONS angstrom
Li 0.000 0.000 3.354
Li 0.000 3.354 0.000
Li 0.000 3.354 3.354
Li 3.354 0.000 0.000
Li 3.354 0.000 3.354
Li 3.354 3.354 0.000
Nb 0.000 0.000 0.000
Nb 3.354 3.354 3.354
S 1.322 1.322 1.322
S 1.322 5.387 5.387
S 2.032 2.032 4.677
S 2.032 4.677 2.032
S 4.677 2.032 2.032
S 4.677 4.677 4.677
S 5.387 1.322 5.387
S 5.387 5.387 1.322
```



The following is a DFT calculation (PBE) of LiNb3S5 after structural relaxation. Values from VASP.

Calculated values
The value obtained for the total energy is -6.535 eV/atom. As for the volume: 199 Å³ per cell.

Cell and atoms, written as Quantum ESPRESSO input:
```
&SYSTEM
  ibrav = 0, nat = 9, ntyp = 3
/
ATOMIC_SPECIES
Li 6.94 Li.upf
Nb 92.91 Nb.upf
S 32.06 S.upf
CELL_PARAMETERS angstrom
5.673 0.000 0.000
-2.836 4.913 0.000
0.000 0.000 7.132
ATOMIC_POSITIONS angstrom
Li 0.000 0.000 0.000
Nb -1.418 2.456 3.566
Nb 2.836 0.000 3.566
Nb 1.418 2.456 3.566
S 0.000 0.000 3.566
S 0.000 3.275 1.664
S 0.000 3.275 5.468
S 2.836 1.638 1.664
S 2.836 1.638 5.468
```



The following is a DFT calculation (PBE) of Li2Nb2Se3S after structural relaxation. Values from VASP.

Calculated values
The value obtained for the total energy is -5.955 eV/atom. As for the volume: 142 Å³ per cell.

Cell and atoms, written as Quantum ESPRESSO input:
```
&SYSTEM
  ibrav = 0, nat = 8, ntyp = 4
/
ATOMIC_SPECIES
Li 6.94 Li.upf
Nb 92.91 Nb.upf
Se 78.96 Se.upf
S 32.06 S.upf
CELL_PARAMETERS angstrom
3.487 0.000 0.000
-1.744 3.020 0.000
0.000 0.000 13.444
ATOMIC_POSITIONS angstrom
Li 0.000 0.000 0.000
Li 0.000 0.000 6.579
Nb 0.000 0.000 3.443
Nb 0.000 0.000 10.056
Se 0.000 2.013 8.370
Se 0.000 2.013 11.744
Se 1.744 1.007 1.753
S 1.744 1.007 4.980
```



The following is a DFT calculation (PBE) of SrLiNbS3 after structural relaxation. Values from VASP.

Calculated values
The value obtained for the total energy is -5.727 eV/atom. As for the volume: 237 Å³ per cell.

Cell and atoms, written as Quantum ESPRESSO input:
```
&SYSTEM
  ibrav = 0, nat = 12, ntyp = 4
/
ATOMIC_SPECIES
Sr 87.62 Sr.upf
Li 6.94 Li.upf
Nb 92.91 Nb.upf
S 32.06 S.upf
CELL_PARAMETERS angstrom
8.074 -1.853 0.000
8.074 1.853 0.000
-1.587 0.000 7.923
ATOMIC_POSITIONS angstrom
Sr 2.117 0.000 0.375
Sr 12.444 0.000 7.547
Li 7.360 0.000 2.449
Li 7.200 0.000 5.474
Nb 2.101 0.000 4.423
Nb 12.459 0.000 3.500
S -0.793 0.000 3.961
S 4.865 0.000 1.726
S 4.435 0.000 5.159
S 8.074 0.000 0.000
S 10.125 0.000 2.764
S 9.695 0.000 6.197
```